Density functional theory data (GGA+U) for a geometry-optimized MgBeMoO4 structure.

Calculated values
**Total magnetization**: 2.5 Bohr magnetons per cell
**Uncorrected energy**: -6.711 eV per atom

The structure in POSCAR format:
```
MgBeMoO4
1.0
-2.823 2.958 4.135
2.823 -2.958 4.135
2.823 2.958 -4.135
Mg Be Mo O
2 2 2 8
Cartesian
0.000 0.000 0.000
0.000 2.958 0.000
2.823 1.479 0.947
0.000 1.479 3.189
1.412 1.479 -2.068
1.412 -1.479 2.068
1.452 1.479 -0.046
4.194 1.479 -0.046
2.823 0.081 2.020
0.000 0.081 2.115
2.823 2.876 2.020
0.000 2.876 2.115
-1.371 1.479 4.181
1.371 1.479 4.181
```